GGA+U MnIn2SnO6, relaxed; M_tot = 5.00 μB per cell; space group = R3, No. 146; V = 128.95 Å³ per cell; calculated total energy = -6.2751 eV per atom
1.0
2.758 1.592 4.894
-2.758 1.592 4.894
0.000 -3.185 4.894
Mn In Sn O
1 2 1 6
Cartesian
0.000 0.000 0.000
0.000 0.000 4.121
0.000 0.000 11.508
0.000 0.000 7.204
-1.602 0.008 5.768
-1.068 -1.507 8.162
0.794 -1.392 5.768
-0.771 1.678 8.162
0.808 1.383 5.768
1.839 -0.171 8.162